1.
VASP calculation (PBE) on Tb3Pr2Ag3 after structural relaxation.

Cell lengths 3.7463, 5.3080, 21.9963 Å; angles 90.00, 90.00, 90.00 degrees
Last column: nearest neighbours and their distance in Å.
Space group Immm (No. 71)
Asymmetric unit:
Tb: 0.0000 0.0000 0.0000  8 Ag 3.09-3.25
Tb: 0.0000 0.5000 0.1172  6 Ag 3.19-3.25
Pr: 0.0000 0.0000 0.2296  2 Ag 3.20, 4 Pr 3.37
Ag: 0.0000 0.0000 0.5000  8 Tb 3.19-3.25
Ag: 0.0000 0.5000 0.3884  6 Tb 3.09-3.25, 2 Pr 3.20

Output
- M_tot: 0.00 μB per atom
- ΔH_f (0 K): -0.18 eV per atom
- DFT total energy: -4.182 eV/atom

***

2.
VASP calculation (PBE) on SrHoTm after structural relaxation.

Cell lengths 3.6847, 3.6847, 9.1725 Å; angles 90.00, 90.00, 120.00 degrees
Last column: nearest neighbours and their distance in Å.
Space group P3m1 (No. 156)
Asymmetric unit:
Sr: 0.0000 0.0000 0.0000  6 Sr 3.68, 3 Tm 3.87, 3 Ho 3.90
Ho: 0.3333 0.6667 0.6437  3 Tm 3.42, 6 Ho 3.68
Tm: 0.6667 0.3333 0.3523  3 Ho 3.42, 6 Tm 3.68

Output
- M_tot: 0.00 μB per atom
- ΔH_f (0 K): 0.18 eV per atom
- DFT total energy: -3.396 eV/atom

***

3.
VASP calculation (PBE) on Mn3FeCl after structural relaxation.

Cell lengths 4.0593, 4.0593, 4.0593 Å; angles 90.00, 90.00, 90.00 degrees
Last column: nearest neighbours and their distance in Å.
Space group Pm-3m (No. 221)
Asymmetric unit:
Mn: 0.0000 0.0000 0.5000  2 Cl 2.03
Fe: 0.5000 0.5000 0.5000  12 Mn 2.87
Cl: 0.0000 0.0000 0.0000  6 Mn 2.03

Output
- M_tot: 0.06 μB per atom
- ΔE_f (raw): 1.01 eV/atom
- DFT total energy: -6.554 eV/atom

***

4.
VASP calculation (PBE) on TiNiAs2Br after structural relaxation.

Cell lengths 4.5747, 4.5747, 4.9644 Å; angles 90.00, 90.00, 90.00 degrees
Last column: nearest neighbours and their distance in Å.
Space group P4/mmm (No. 123)
Asymmetric unit:
Ti: 0.0000 0.0000 0.0000  4 Br 3.23, 8 As 3.38
Ni: 0.5000 0.5000 0.5000  4 As 2.29, 2 Br 2.48
As: 0.0000 0.5000 0.5000  2 Ni 2.29
Br: 0.5000 0.5000 0.0000  2 Ni 2.48

Output
- M_tot: 0.22 μB per atom
- ΔE_f (raw): 0.39 eV/atom
- DFT total energy: -4.544 eV/atom

***

Question: Look up the DFT total energy of the fourth one.
Answer: -4.544 eV/atom

***

Question: What is the formula in the second record?
Answer: SrHoTm